[1]
# GGA-PBE KRbCo2I, relaxed
data_KRbCo2I
_cell_length_a 6.1016
_cell_length_b 6.1016
_cell_length_c 6.9602
_cell_angle_alpha 90.00
_cell_angle_beta 90.00
_cell_angle_gamma 90.00
_space_group_name_H-M_alt 'P 4/m m m'
_space_group_IT_number 123
_space_group_name_Hall '-P 4 2'
loop_
_atom_site_label
_atom_site_fract_x
_atom_site_fract_y
_atom_site_fract_z
_atom_site_occupancy
K1 0.0000 0.0000 0.0000 1
Rb1 0.5000 0.5000 0.5000 1
Co1 0.0000 0.5000 0.5000 1
I1 0.5000 0.5000 0.0000 1
# formation energy (no corrections) = 1.15 eV per atom
# M_tot = 5.0 μB per formula unit
# crystal system = tetragonal



[2]
# GGA-PBE KCoSb2I, relaxed
data_KCoSb2I
_cell_length_a 6.1166
_cell_length_b 6.1166
_cell_length_c 6.0838
_cell_angle_alpha 90.00
_cell_angle_beta 90.00
_cell_angle_gamma 90.00
_space_group_name_H-M_alt 'P 4/m m m'
_space_group_IT_number 123
_space_group_name_Hall '-P 4 2'
loop_
_atom_site_label
_atom_site_fract_x
_atom_site_fract_y
_atom_site_fract_z
_atom_site_occupancy
K1 0.0000 0.0000 0.0000 1
Co1 0.5000 0.5000 0.5000 1
Sb1 0.0000 0.5000 0.0000 1
I1 0.0000 0.0000 0.5000 1
# distance to the lowest polymorph of the same formula = 1.663 eV/atom
# formation energy (no corrections) = 1.53 eV per atom
# M_tot = 4.5 μB per formula unit
# crystal system = tetragonal



[3]
# GGA-PBE KCoSb2I, relaxed
data_KCoSb2I
_cell_length_a 4.7653
_cell_length_b 4.7653
_cell_length_c 9.6801
_cell_angle_alpha 90.00
_cell_angle_beta 90.00
_cell_angle_gamma 90.00
_space_group_name_H-M_alt 'P 4/m m m'
_space_group_IT_number 123
_space_group_name_Hall '-P 4 2'
loop_
_atom_site_label
_atom_site_fract_x
_atom_site_fract_y
_atom_site_fract_z
_atom_site_occupancy
K1 0.0000 0.0000 0.0000 1
Co1 0.5000 0.5000 0.5000 1
Sb1 0.0000 0.5000 0.5000 1
I1 0.5000 0.5000 0.0000 1
# distance to the lowest polymorph of the same formula = 0.000 eV/atom
# formation energy (no corrections) = -0.13 eV per atom
# M_tot = 0.0 μB per formula unit
# crystal system = tetragonal



[4]
# GGA-PBE KScCoI2, relaxed
data_KScCoI2
_cell_length_a 5.8566
_cell_length_b 5.8566
_cell_length_c 4.4388
_cell_angle_alpha 90.00
_cell_angle_beta 90.00
_cell_angle_gamma 90.00
_space_group_name_H-M_alt 'P 4/m m m'
_space_group_IT_number 123
_space_group_name_Hall '-P 4 2'
loop_
_atom_site_label
_atom_site_fract_x
_atom_site_fract_y
_atom_site_fract_z
_atom_site_occupancy
K1 0.0000 0.0000 0.0000 1
Sc1 0.5000 0.5000 0.0000 1
Co1 0.5000 0.5000 0.5000 1
I1 0.0000 0.5000 0.5000 1
# formation energy (no corrections) = -0.16 eV per atom
# M_tot = 0.0 μB per formula unit
# crystal system = tetragonal



[5]
# GGA-PBE KCoSe2I, relaxed
data_KCoSe2I
_cell_length_a 5.7999
_cell_length_b 5.7999
_cell_length_c 4.7195
_cell_angle_alpha 90.00
_cell_angle_beta 90.00
_cell_angle_gamma 90.00
_space_group_name_H-M_alt 'P 4/m m m'
_space_group_IT_number 123
_space_group_name_Hall '-P 4 2'
loop_
_atom_site_label
_atom_site_fract_x
_atom_site_fract_y
_atom_site_fract_z
_atom_site_occupancy
K1 0.0000 0.0000 0.0000 1
Co1 0.5000 0.5000 0.0000 1
Se1 0.0000 0.5000 0.5000 1
I1 0.5000 0.5000 0.5000 1
# formation energy (no corrections) = 0.37 eV per atom
# M_tot = 2.0 μB per formula unit
# crystal system = tetragonal



[6]
# GGA-PBE K2CoSeI, relaxed
data_K2CoSeI
_cell_length_a 6.3840
_cell_length_b 6.3840
_cell_length_c 5.7095
_cell_angle_alpha 90.00
_cell_angle_beta 90.00
_cell_angle_gamma 90.00
_space_group_name_H-M_alt 'P 4/m m m'
_space_group_IT_number 123
_space_group_name_Hall '-P 4 2'
loop_
_atom_site_label
_atom_site_fract_x
_atom_site_fract_y
_atom_site_fract_z
_atom_site_occupancy
K1 0.0000 0.5000 0.0000 1
Co1 0.0000 0.0000 0.5000 1
Se1 0.5000 0.5000 0.0000 1
I1 0.5000 0.5000 0.5000 1
# formation energy (no corrections) = 0.21 eV per atom
# M_tot = 2.5 μB per formula unit
# crystal system = tetragonal